## TbZn12Ni4 (PBE)

Data for a relaxed TbZn12Ni4 crystal.

```
17
Lattice="-4.2043 4.2043 4.2043 4.2043 -4.2043 4.2043 4.2043 4.2043 -4.2043" Properties=species:S:1:pos:R:3 pbc="T T T"
Tb 0.0000 0.0000 0.0000
Zn 2.9118 1.3750 0.0000
Zn 5.4968 1.3750 0.0000
Zn 4.2043 -1.2925 2.8293
Zn 2.8293 4.2043 -1.2925
Zn 1.3750 0.0000 2.9118
Zn 4.2043 1.2925 2.8293
Zn 0.0000 2.9118 1.3750
Zn 2.8293 4.2043 1.2925
Zn 1.3750 0.0000 5.4968
Zn 0.0000 5.4968 1.3750
Zn -1.2925 2.8293 4.2043
Zn 1.2925 2.8293 4.2043
Ni 2.1021 2.1021 -2.1021
Ni 2.1021 -2.1021 2.1021
Ni -2.1021 2.1021 2.1021
Ni 2.1021 2.1021 2.1021
```

Output
Density in g/cm³: 6.584
Raw total energy in eV per atom: -2.41